1.
# ThBeP

ThBeP after structural relaxation (PBE, Alexandria via LeMat-Bulk).

The density of states at the Fermi level is 0.68 states/eV/atom.

The structure in CIF format:
```
data_ThBeP
_cell_length_a 3.7357
_cell_length_b 3.7357
_cell_length_c 4.3683
_cell_angle_alpha 90.00
_cell_angle_beta 90.00
_cell_angle_gamma 120.00
_space_group_name_H-M_alt 'P -6 m 2'
_space_group_IT_number 187
_space_group_name_Hall 'P -6 2'
loop_
_atom_site_label
_atom_site_type_symbol
_atom_site_fract_x
_atom_site_fract_y
_atom_site_fract_z
_atom_site_occupancy
Th1 Th 0.0000 0.0000 0.0000 1
Be1 Be 0.3333 0.6667 0.5000 1
P1 P 0.6667 0.3333 0.5000 1
```

2.
# ThBeP

ThBeP after structural relaxation (PBE, Alexandria via LeMat-Bulk).

The density of states at the Fermi level is 0.46 states/eV/atom.

The structure in CIF format:
```
data_ThBeP
_cell_length_a 5.764
_cell_length_b 5.688
_cell_length_c 7.739
_cell_angle_alpha 90.00
_cell_angle_beta 99.41
_cell_angle_gamma 90.00
_space_group_name_H-M_alt 'C 1 2/m 1'
_space_group_IT_number 12
_space_group_name_Hall '-C 2y'
loop_
_atom_site_label
_atom_site_type_symbol
_atom_site_fract_x
_atom_site_fract_y
_atom_site_fract_z
_atom_site_occupancy
Th1 Th 0.195 0.000 0.271 1
Be1 Be 0.161 0.500 0.078 1
P1 P 0.213 0.500 0.348 1
```

Which of them is the least stable? Correct choice: 2.

1.
# TiBeP

TiBeP after structural relaxation (PBE, Alexandria via LeMat-Bulk).

The density of states at the Fermi level is 0.94 states/eV/atom.

The structure in CIF format:
```
data_TiBeP
_cell_length_a 9.289
_cell_length_b 3.441
_cell_length_c 5.161
_cell_angle_alpha 90.00
_cell_angle_beta 90.00
_cell_angle_gamma 90.00
_space_group_name_H-M_alt 'P n m a'
_space_group_IT_number 62
_space_group_name_Hall '-P 2ac 2n'
loop_
_atom_site_label
_atom_site_type_symbol
_atom_site_fract_x
_atom_site_fract_y
_atom_site_fract_z
_atom_site_occupancy
Ti1 Ti 0.063 0.250 0.243 1
Be1 Be 0.149 0.250 0.768 1
P1 P 0.179 0.750 0.537 1
```

2.
# TiBeP

TiBeP after structural relaxation (PBE, Alexandria via LeMat-Bulk).

The density of states at the Fermi level is 0.31 states/eV/atom.

The structure in CIF format:
```
data_TiBeP
_cell_length_a 8.672
_cell_length_b 3.476
_cell_length_c 5.116
_cell_angle_alpha 90.00
_cell_angle_beta 103.62
_cell_angle_gamma 90.00
_space_group_name_H-M_alt 'C 1 m 1'
_space_group_IT_number 8
_space_group_name_Hall 'C -2y'
loop_
_atom_site_label
_atom_site_type_symbol
_atom_site_fract_x
_atom_site_fract_y
_atom_site_fract_z
_atom_site_occupancy
Ti1 Ti 0.000 0.000 0.000 1
Ti2 Ti 0.144 0.500 0.547 1
Be1 Be 0.342 0.000 0.238 1
Be2 Be 0.437 0.500 0.471 1
P1 P 0.218 0.500 0.066 1
P2 P 0.367 0.000 0.669 1
```

Which of them is the least stable? Correct choice: 1.

1.
# TiBeP

TiBeP after structural relaxation (PBE, Alexandria via LeMat-Bulk).

The density of states at the Fermi level is 0.48 states/eV/atom.

The structure in CIF format:
```
data_TiBeP
_cell_length_a 3.484
_cell_length_b 3.484
_cell_length_c 12.036
_cell_angle_alpha 90.00
_cell_angle_beta 90.00
_cell_angle_gamma 90.00
_space_group_name_H-M_alt 'I 4/m m m'
_space_group_IT_number 139
_space_group_name_Hall '-I 4 2'
loop_
_atom_site_label
_atom_site_type_symbol
_atom_site_fract_x
_atom_site_fract_y
_atom_site_fract_z
_atom_site_occupancy
Ti1 Ti 0.000 0.000 0.166 1
Be1 Be 0.000 0.500 0.000 1
P1 P 0.000 0.000 0.370 1
```

2.
# TiBeP

TiBeP after structural relaxation (PBE, Alexandria via LeMat-Bulk).

The density of states at the Fermi level is 0.56 states/eV/atom.

The structure in CIF format:
```
data_TiBeP
_cell_length_a 3.3537
_cell_length_b 3.3537
_cell_length_c 12.6959
_cell_angle_alpha 90.00
_cell_angle_beta 90.00
_cell_angle_gamma 120.00
_space_group_name_H-M_alt 'R 3 m'
_space_group_IT_number 160
_space_group_name_Hall 'R 3 -2"'
loop_
_atom_site_label
_atom_site_type_symbol
_atom_site_fract_x
_atom_site_fract_y
_atom_site_fract_z
_atom_site_occupancy
Ti1 Ti 0.0000 0.0000 0.0000 1
Be1 Be 0.0000 0.0000 0.8011 1
P1 P 0.0000 0.0000 0.2046 1
```

3.
# TiBeP

TiBeP after structural relaxation (PBE, Alexandria via LeMat-Bulk).

The density of states at the Fermi level is 0.60 states/eV/atom.

The structure in CIF format:
```
data_TiBeP
_cell_length_a 8.835
_cell_length_b 3.493
_cell_length_c 5.899
_cell_angle_alpha 90.00
_cell_angle_beta 127.47
_cell_angle_gamma 90.00
_space_group_name_H-M_alt 'C 1 2/m 1'
_space_group_IT_number 12
_space_group_name_Hall '-C 2y'
loop_
_atom_site_label
_atom_site_type_symbol
_atom_site_fract_x
_atom_site_fract_y
_atom_site_fract_z
_atom_site_occupancy
Ti1 Ti 0.060 0.000 0.315 1
Be1 Be 0.149 0.500 0.090 1
P1 P 0.173 0.500 0.718 1
```

Which of them is the least stable? Correct choice: 2.

1.
# TiBeP

TiBeP after structural relaxation (PBE, Alexandria via LeMat-Bulk).

The density of states at the Fermi level is 0.43 states/eV/atom.

The structure in CIF format:
```
data_TiBeP
_cell_length_a 3.470
_cell_length_b 8.623
_cell_length_c 4.864
_cell_angle_alpha 90.00
_cell_angle_beta 90.00
_cell_angle_gamma 90.00
_space_group_name_H-M_alt 'C m c m'
_space_group_IT_number 63
_space_group_name_Hall '-C 2c 2'
loop_
_atom_site_label
_atom_site_type_symbol
_atom_site_fract_x
_atom_site_fract_y
_atom_site_fract_z
_atom_site_occupancy
Ti1 Ti 0.000 0.195 0.250 1
Be1 Be 0.000 0.500 0.000 1
P1 P 0.000 0.103 0.750 1
```

2.
# TiBeP

TiBeP after structural relaxation (PBE, Alexandria via LeMat-Bulk).

The density of states at the Fermi level is 0.18 states/eV/atom.

The structure in CIF format:
```
data_TiBeP
_cell_length_a 8.985
_cell_length_b 3.531
_cell_length_c 5.712
_cell_angle_alpha 90.00
_cell_angle_beta 119.40
_cell_angle_gamma 90.00
_space_group_name_H-M_alt 'C 1 m 1'
_space_group_IT_number 8
_space_group_name_Hall 'C -2y'
loop_
_atom_site_label
_atom_site_type_symbol
_atom_site_fract_x
_atom_site_fract_y
_atom_site_fract_z
_atom_site_occupancy
Ti1 Ti 0.000 0.000 0.000 1
Ti2 Ti 0.167 0.000 0.642 1
Be1 Be 0.295 0.500 0.429 1
Be2 Be 0.453 0.000 0.639 1
P1 P 0.026 0.500 0.326 1
P2 P 0.206 0.500 0.986 1
```

Which of them is the least stable? Correct choice: 2.

1.
# BeVP

BeVP after structural relaxation (PBE, Alexandria via LeMat-Bulk).

The density of states at the Fermi level is 0.91 states/eV/atom.

The structure in CIF format:
```
data_BeVP
_cell_length_a 3.5320
_cell_length_b 3.5320
_cell_length_c 3.1036
_cell_angle_alpha 90.00
_cell_angle_beta 90.00
_cell_angle_gamma 120.00
_space_group_name_H-M_alt 'P -6 m 2'
_space_group_IT_number 187
_space_group_name_Hall 'P -6 2'
loop_
_atom_site_label
_atom_site_type_symbol
_atom_site_fract_x
_atom_site_fract_y
_atom_site_fract_z
_atom_site_occupancy
Be1 Be 0.0000 0.0000 0.0000 1
V1 V 0.3333 0.6667 0.5000 1
P1 P 0.6667 0.3333 0.0000 1
```

2.
# BeVP

BeVP after structural relaxation (PBE, Alexandria via LeMat-Bulk).

The density of states at the Fermi level is 0.52 states/eV/atom.

The structure in CIF format:
```
data_BeVP
_cell_length_a 8.354
_cell_length_b 3.066
_cell_length_c 5.881
_cell_angle_alpha 90.00
_cell_angle_beta 103.22
_cell_angle_gamma 90.00
_space_group_name_H-M_alt 'C 1 2/m 1'
_space_group_IT_number 12
_space_group_name_Hall '-C 2y'
loop_
_atom_site_label
_atom_site_type_symbol
_atom_site_fract_x
_atom_site_fract_y
_atom_site_fract_z
_atom_site_occupancy
Be1 Be 0.152 0.000 0.478 1
V1 V 0.152 0.500 0.121 1
P1 P 0.060 0.000 0.800 1
```

Which of them is the least stable? Correct choice: 1.